Entry 1:
Below is a relaxed structure of Tl3C5, with properties calculated at the PBE level.

Cell: 7.8650 7.8650 3.1573 Å, 90.00 90.00 128.69°
Each line ends with the local moment (μB).
Fractional positions:
Tl  0.5000  0.5000  0.0000  -0.01
Tl  0.7538  0.2462  0.5000  0.01
Tl  0.2462  0.7538  0.5000  0.01
C  0.0000  0.0000  0.0000  0.04
C  0.5000  0.0000  0.0000  0.28
C  0.0000  0.5000  0.0000  0.28
C  0.8990  0.8990  0.5000  0.00
C  0.1010  0.1010  0.5000  0.00

Computed properties:
E_form, eV/atom: 2.32
Space group: Cmmm, No. 65
Magnetic moment, Bohr magnetons per cell: 1.2



Entry 2:
Below is a relaxed structure of Na2RhSe2O6, with properties calculated at the PBE level.

Cell: 5.8103 5.0190 6.8056 Å, 106.99 90.00 125.37°
Each line ends with the local moment (μB).
Fractional positions:
Na  0.6943  0.3886  0.1385  0.00
Na  0.3057  0.6114  0.8615  0.00
Rh  0.5000  0.0000  0.5000  0.76
Se  0.9025  0.8049  0.7536  0.02
Se  0.0975  0.1951  0.2464  0.02
O  0.7533  0.5066  0.4997  0.00
O  0.1987  0.9212  0.2308  0.03
O  0.2775  0.0788  0.7692  0.03
O  0.8013  0.0788  0.7692  0.03
O  0.7225  0.9212  0.2308  0.03
O  0.2467  0.4934  0.5003  0.00

Computed properties:
Energy relative to the elements, uncorrected, eV per atom: -0.93
Space group: C2/m, No. 12
Magnetic moment, Bohr magnetons per cell: 1.0